DFT (PBE+U) results for a relaxed structure of CoTc2O8.

Lattice parameters (Å, degrees): 6.9702 6.9702 5.1964 96.88 96.88 62.03
Last column: nearest neighbours and their distance in Å.
Element x y z (fractional)
Co (0.0000, 0.0000, 0.0000)  2 O 1.97
Tc (0.1646, 0.1646, 0.6573)  4 O 1.71-1.77
Tc (0.8354, 0.8354, 0.3427)  4 O 1.71-1.77
O (0.0767, 0.6945, 0.1831)  1 Tc 1.75
O (0.1084, 0.1084, 0.3232)  1 Tc 1.77, 1 Co 1.97
O (0.3055, 0.9233, 0.8169)  1 Tc 1.75
O (0.3089, 0.3089, 0.6860)  1 Tc 1.71
O (0.6911, 0.6911, 0.3140)  1 Tc 1.71
O (0.6945, 0.0767, 0.1831)  1 Tc 1.75
O (0.8916, 0.8916, 0.6768)  1 Tc 1.77, 1 Co 1.97
O (0.9233, 0.3055, 0.8169)  1 Tc 1.75

Properties
Its symmetry is C2/m. Its total energy is -7.17 eV/atom. For the density, the calculation gives 2.880 g/cm³. As for the total magnetic moment: 3.0 μB/cell. The crystal system is monoclinic.